Here is a relaxed HfRhW2F crystal from Alexandria via LeMat-Bulk. Energies are from PBE+U.

abc: 4.368 4.394 4.368
angles: 90.00 90.00 90.00
Last column: magnetic moment on the atom in μB.
Atoms (fractional coordinates):
1 F 0.000 0.000 0.000  0.06
2 Rh 0.500 0.500 0.500  0.36
3 W 0.000 0.000 0.500  1.84
4 W 0.500 0.000 0.000  2.03
5 Hf 0.000 0.500 0.000  -0.20

Results
As for the calculated total energy: -31.1 eV for the cell shown.